# KAcW2O8

A relaxed structure of KAcW2O8 (GGA+U, the Alexandria database).

Output
Its symmetry is R32 (155). As for the electronic total energy: -7.25 eV/atom.

```
12
Lattice="-1.6301 2.7293 -4.7836 -5.5239 -0.0132 -1.5734 -3.6780 7.9872 2.3624" Properties=species:S:1:pos:R:3 pbc="T T T"
O -6.8412 5.6647 0.0489
O -3.3375 3.9448 -2.1264
O -5.5478 5.0349 -4.4870
O -6.3970 7.5316 -2.7731
O -6.6489 3.1665 -1.8521
O -3.7237 6.7676 -0.7942
O -2.4275 1.1401 -1.9704
O -8.4045 9.5632 -2.0242
W -2.6994 2.6288 -1.0284
W -8.1326 8.0745 -2.9662
K 0.0000 0.0000 0.0000
Ac -5.4160 5.3517 -1.9973
```